Entry 1:
Computed, not measured: a relaxed structure of BaReBr2 at the PBE level of DFT.

E = -4.187 eV/atom
M_tot = 5.0 μB per formula unit

a b c (Å): 5.2553 5.2641 4.4648
angles (deg): 90.00 90.00 90.00
Atoms (fractional coordinates):
1 Br 0.5000 0.5000 0.0000
2 Re 0.5000 0.0000 0.5000
3 Ba 0.0000 0.5000 0.5000
4 Br 0.0000 0.0000 0.0000

---

Entry 2:
Computed, not measured: a relaxed structure of BaReSe2Br at the PBE level of DFT.

E = -3.597 eV/atom
M_tot = 4.0 μB per formula unit

a b c (Å): 6.2070 6.2070 6.1291
angles (deg): 90.00 90.00 90.00
Atoms (fractional coordinates):
1 Re 0.5000 0.5000 0.5000
2 Se 0.0000 0.5000 0.0000
3 Ba 0.0000 0.0000 0.0000
4 Se 0.5000 0.0000 0.0000
5 Br 0.0000 0.0000 0.5000

---

| no. | uncorrected formation energy (meV per atom) |
| --- | --- |
| 1 | 242.0 |
| 2 | 1005.6 |